VASP calculation (GGA-PBE) on ZnTe after structural relaxation.

The total energy comes out at -2.68 eV per atom.

Structure (POSCAR):
```
ZnTe
1.0
0.000 3.082 3.082
3.082 0.000 3.082
3.082 3.082 0.000
Zn Te
1 1
Direct
0.000 0.000 0.000
0.250 0.250 0.250
```